Record 1
A plane-wave DFT calculation with PBEsol was carried out for an optimized crystal structure of LuAl7Au3.

Volume   18.0 Å³/atom
Energy of formation   -49.9 kJ per mole of atoms
VASP energy   -101.94 eV per cell

Lattice parameters (Å, degrees): 8.069 8.069 8.437 61.43 61.43 60.00
Atoms (fractional coordinates):
Al (0.930, 0.333, 0.589)
Al (0.570, 0.353, 0.911)
Al (0.333, 0.147, 0.589)
Al (0.833, 0.430, 0.089)
Al (0.147, 0.930, 0.589)
Al (0.167, 0.570, 0.911)
Au (0.576, 0.250, 0.250)
Lu (0.000, 0.000, 0.000)
Al (0.750, 0.750, 0.750)
Al (0.250, 0.250, 0.250)
Al (0.647, 0.833, 0.089)
Al (0.070, 0.667, 0.411)
Al (0.353, 0.167, 0.911)
Al (0.853, 0.070, 0.411)
Au (0.250, 0.924, 0.250)
Au (0.424, 0.750, 0.750)
Au (0.076, 0.424, 0.750)
Au (0.924, 0.576, 0.250)
Al (0.667, 0.853, 0.411)
Lu (0.500, 0.500, 0.500)
Al (0.430, 0.647, 0.089)
Au (0.750, 0.076, 0.750)

=====

Record 2
A plane-wave DFT calculation with PBEsol was carried out for an optimized crystal structure of Li2Mn3SbO8.

Volume   10.4 Å³/atom
E_form (uncorrected)   -2316 kJ/mol of formula units
Excess energy over the best structure of this formula in the dataset   0 meV per atom
VASP energy   -207.54 eV per cell

Lattice parameters (Å, degrees): 5.914 5.914 9.657 90.00 90.00 120.00
Each line ends with the local moment (μB).
Atoms (fractional coordinates):
O (0.000, 0.000, 0.205)  0.02
O (0.333, 0.667, 0.381)  0.03
Li (0.333, 0.667, 0.594)  0.00
O (0.861, 0.667, 0.407)  0.08
O (0.333, 0.194, 0.407)  0.08
Sb (0.333, 0.667, 0.015)  0.06
O (0.667, 0.861, 0.907)  0.08
Mn (0.338, 0.178, 0.787)  3.61
Mn (0.839, 0.662, 0.787)  3.61
Mn (0.178, 0.338, 0.287)  3.61
O (0.440, 0.965, 0.151)  0.08
O (0.194, 0.333, 0.907)  0.08
Mn (0.662, 0.839, 0.287)  3.61
Li (0.667, 0.333, 0.094)  0.00
O (0.560, 0.525, 0.651)  0.08
Mn (0.822, 0.161, 0.787)  3.61
Mn (0.161, 0.822, 0.287)  3.61
O (0.000, 0.000, 0.705)  0.02
O (0.965, 0.440, 0.651)  0.08
Li (0.000, 0.000, 0.514)  0.00
O (0.139, 0.806, 0.907)  0.08
O (0.667, 0.333, 0.881)  0.03
O (0.475, 0.035, 0.651)  0.08
O (0.806, 0.139, 0.407)  0.08
Sb (0.667, 0.333, 0.515)  0.06
O (0.525, 0.560, 0.151)  0.08
O (0.035, 0.475, 0.151)  0.08
Li (0.000, 0.000, 0.014)  0.00

=====

Record 3
A plane-wave DFT calculation with PBEsol was carried out for an optimized crystal structure of AlCu3S.

Volume   16.3 Å³/atom
E_form (uncorrected)   202 kJ/mol of formula units
VASP energy   -19.38 eV per cell

Lattice parameters (Å, degrees): 4.339 4.339 4.339 90.00 90.00 90.00
Atoms (fractional coordinates):
S (0.000, 0.000, 0.000)
Al (0.500, 0.500, 0.500)
Cu (0.000, 0.500, 0.000)
Cu (0.000, 0.000, 0.500)
Cu (0.500, 0.000, 0.000)